{
  "formula": "TaVB4",
  "functional": "GGA-PBE",
  "state": "optimized geometry",
  "lattice_angstrom": [[3.0609, 0.0000, 0.0000], [-1.5304, 2.6508, 0.0000], [0.0000, 0.0000, 6.3380]],
  "species": ["Ta", "V", "B", "B", "B", "B"],
  "frac_coords": [[0.0000, 0.0000, 0.0000], [0.0000, 0.0000, 0.5000], [0.6667, 0.3333, 0.7367], [0.6667, 0.3333, 0.2633], [0.3333, 0.6667, 0.7367], [0.3333, 0.6667, 0.2633]],
  "formation_energy_ev_per_atom": -0.69,
  "energy_ev_per_cell": -51.81,
  "sg": "P6/mmm, No. 191"
}